# GGA+U Co3SbO6, relaxed
# E: -6.0030 eV per atom
# magnetization: 1.000 μB per atom
# SG: P2_1/c
data_Co3SbO6
_symmetry_space_group_name_H-M 'P 1'
_symmetry_Int_Tables_number 1
_symmetry_space_group_name_Hall 'P 1'
_cell_length_a 5.225
_cell_length_b 5.249
_cell_length_c 9.178
_cell_angle_alpha 90.00
_cell_angle_beta 124.63
_cell_angle_gamma 90.00
loop_
_atom_site_label
_atom_site_type_symbol
_atom_site_fract_x
_atom_site_fract_y
_atom_site_fract_z
_atom_site_occupancy
Co1 Co 0.000 0.000 0.000 1
Co2 Co 0.000 0.500 0.500 1
Co3 Co 0.232 0.033 0.744 1
Co4 Co 0.232 0.467 0.244 1
Co5 Co 0.768 0.533 0.756 1
Co6 Co 0.768 0.967 0.256 1
Sb1 Sb 0.500 0.000 0.500 1
Sb2 Sb 0.500 0.500 0.000 1
O1 O 0.135 0.084 0.253 1
O2 O 0.135 0.416 0.753 1
O3 O 0.225 0.673 0.056 1
O4 O 0.225 0.827 0.556 1
O5 O 0.399 0.172 0.069 1
O6 O 0.399 0.328 0.569 1
O7 O 0.601 0.672 0.431 1
O8 O 0.601 0.828 0.931 1
O9 O 0.775 0.173 0.444 1
O10 O 0.775 0.327 0.944 1
O11 O 0.865 0.584 0.247 1
O12 O 0.865 0.916 0.747 1